Record 1
{
  "formula": "CsZnSn2",
  "functional": "GGA-PBE",
  "state": "relaxed",
  "mass_density_g_cm3": 4.18,
  "total_magnetization_mub_per_atom": 0.00,
  "ef_kj_per_mol_fu": 15,
  "volume_a3_per_atom": 43.2,
  "lattice_angstrom": [[7.571, 0.000, -0.002], [0.000, 6.547, -1.683], [0.002, 1.810, 6.513]],
  "species": ["Cs", "Cs", "Zn", "Zn", "Sn", "Sn", "Sn", "Sn"],
  "frac_coords": [[0.518, 0.060, 0.342], [0.018, 0.561, 0.844], [0.268, 0.062, 0.842], [0.768, 0.062, 0.842], [0.018, 0.067, 0.546], [0.018, 0.056, 0.138], [0.518, 0.357, 0.837], [0.518, 0.765, 0.847]]
}



Record 2
{
  "formula": "CsZn3Sn3",
  "functional": "GGA-PBE",
  "state": "relaxed",
  "mass_density_g_cm3": 4.58,
  "total_magnetization_mub_per_atom": 0.00,
  "ef_kj_per_mol_fu": 58,
  "volume_a3_per_atom": 35.5,
  "lattice_angstrom": [[7.985, 0.000, 0.000], [3.992, 6.915, 0.000], [3.992, 2.305, 8.993]],
  "species": ["Cs", "Cs", "Zn", "Zn", "Zn", "Zn", "Zn", "Zn", "Sn", "Sn", "Sn", "Sn", "Sn", "Sn"],
  "frac_coords": [[0.333, 0.333, 0.001], [0.667, 0.667, 0.999], [0.447, 0.775, 0.668], [0.775, 0.110, 0.668], [0.110, 0.447, 0.668], [0.890, 0.553, 0.332], [0.225, 0.890, 0.332], [0.553, 0.225, 0.332], [0.213, 0.554, 0.353], [0.881, 0.213, 0.353], [0.554, 0.881, 0.353], [0.446, 0.119, 0.647], [0.119, 0.787, 0.647], [0.787, 0.446, 0.647]]
}